Crystalline CaLaZn2Ga2 at its relaxed geometry. Source: the Alexandria database, functional PBE.

a b c (Å): 4.5203 4.5203 7.6574
angles (deg): 90.00 90.00 120.00
Space group P-3m1 (No. 164)
Symmetry-distinct sites (fractional):
Ca 0.0000 0.0000 0.0000 (multiplicity 1)
La 0.0000 0.0000 0.5000 (multiplicity 1)
Zn 0.3333 0.6667 0.7607 (multiplicity 2)
Ga 0.3333 0.6667 0.2508 (multiplicity 2)

Calculated values
mass density: 5.51 g/cm3
energy relative to the elements: -3.0 eV per formula unit
final energy: -3.088 eV per atom